CuHgGe | PBE | optimized geometry

abc: 4.363 4.363 4.363
angles: 60.00 60.00 60.00
Element x y z (fractional)
1 Ge 0.500 0.500 0.500
2 Hg 0.000 0.000 0.000
3 Cu 0.250 0.250 0.250

Results
* DFT total energy: -8.42 eV/cell
* crystal system: cubic
* energy of formation: 0.1990 eV per atom
* distance to the lowest polymorph of the same formula: 0.046 eV/atom

=====

PmIn2Pb2 | PBE | optimized geometry

abc: 4.643 4.710 13.161
angles: 90.00 100.16 90.00
Element x y z (fractional)
1 Pm 0.355 0.250 0.711
2 Pm 0.645 0.750 0.289
3 In 0.046 0.750 0.091
4 In 0.453 0.750 0.906
5 In 0.954 0.250 0.909
6 In 0.547 0.250 0.094
7 Pb 0.750 0.250 0.501
8 Pb 0.250 0.750 0.499
9 Pb 0.855 0.750 0.710
10 Pb 0.145 0.250 0.290

Results
* DFT total energy: -37.85 eV/cell
* crystal system: orthorhombic
* energy of formation: -0.2565 eV per atom

=====

What is the energy of formation in the second record? -0.2565 eV per atom

=====

Number 2 is which compound? PmIn2Pb2

=====

What is the energy of formation in the second record? -0.2565 eV per atom